[1]
VASP calculation (SCAN) on a crystal of Na5CaAl5FeSi12O36 relaxed with PBEsol.

Output
- Total magnetic moment: 0.07 μB/atom
- Energy relative to the elements, uncorrected: -3.00 eV/atom

Unit cell a=9.5044 b=8.6343 c=15.7621 alpha=90.00 beta=107.19 gamma=90.00
Closest atoms and distances in Å follow each position.
Space group C2 (No. 5)
Inequivalent atoms, fractional coordinates:
Na: 0.0000 0.0000 0.0000 (multiplicity 2)  6 O 2.38-2.42
Na: 0.0022 0.0007 0.3329 (multiplicity 4)  6 O 2.33-2.53
Na: 0.0034 0.3982 0.8354 (multiplicity 4)  6 O 2.36-2.43
Ca: 0.0000 0.3996 0.5000 (multiplicity 2)  6 O 2.33-2.41
Al: 0.0000 0.6053 0.0000 (multiplicity 2)  6 O 1.86-2.00
Al: 0.0020 0.7928 0.8352 (multiplicity 4)  6 O 1.86-2.02
Al: 0.0043 0.6102 0.6708 (multiplicity 4)  6 O 1.89-1.98
Fe: 0.0000 0.8064 0.5000 (multiplicity 2)  6 O 1.98-2.16
Si: 0.2063 0.1049 0.1737 (multiplicity 4)  4 O 1.61-1.65
Si: 0.2074 0.2971 0.3366 (multiplicity 4)  4 O 1.61-1.66
Si: 0.2101 0.2934 0.0085 (multiplicity 4)  4 O 1.61-1.65
Si: 0.2120 0.1043 0.8428 (multiplicity 4)  4 O 1.60-1.66
Si: 0.2134 0.2913 0.6770 (multiplicity 4)  4 O 1.62-1.67
Si: 0.2168 0.1113 0.5074 (multiplicity 4)  4 O 1.59-1.67
O: 0.1039 0.6154 0.4528 (multiplicity 4)  1 Si 1.63
O: 0.1070 0.6233 0.1250 (multiplicity 4)  1 Si 1.65
O: 0.1066 0.7756 0.2899 (multiplicity 4)  1 Si 1.64
O: 0.1089 0.7744 0.9597 (multiplicity 4)  1 Si 1.65
O: 0.1127 0.6229 0.7949 (multiplicity 4)  1 Si 1.65
O: 0.1152 0.7776 0.6389 (multiplicity 4)  1 Si 1.62
O: 0.1323 0.4645 0.3116 (multiplicity 4)  1 Si 1.61
O: 0.1364 0.4588 0.6511 (multiplicity 4)  1 Si 1.62
O: 0.1382 0.9340 0.1511 (multiplicity 4)  1 Si 1.61
O: 0.1387 0.1851 0.2480 (multiplicity 4)  2 Si 1.65-1.66
O: 0.1395 0.4633 0.9865 (multiplicity 4)  1 Si 1.61
O: 0.1408 0.9349 0.8220 (multiplicity 4)  1 Si 1.60
O: 0.1443 0.2071 0.0816 (multiplicity 4)  2 Si 1.64-1.65
O: 0.1478 0.1930 0.9158 (multiplicity 4)  2 Si 1.64-1.65
O: 0.1487 0.1937 0.5819 (multiplicity 4)  2 Si 1.66-1.67
O: 0.1486 0.2037 0.7494 (multiplicity 4)  2 Si 1.63-1.66
O: 0.1506 0.2240 0.4185 (multiplicity 4)  2 Si 1.66-1.67
O: 0.1529 0.9431 0.4778 (multiplicity 4)  1 Si 1.59

---

[2]
VASP calculation (SCAN) on a crystal of Ca3AlFeSi3O12 relaxed with PBEsol.

Output
- Total magnetic moment: 0.05 μB/atom
- Energy relative to the elements, uncorrected: -3.08 eV/atom

Unit cell a=11.8555 b=11.8555 c=11.8555 alpha=90.00 beta=90.00 gamma=90.00
Closest atoms and distances in Å follow each position.
Space group Ia-3 (No. 206)
Inequivalent atoms, fractional coordinates:
Ca: 0.0000 0.2500 0.1277 (multiplicity 24)  8 O 2.32-2.48
Al: 0.0000 0.0000 0.0000 (multiplicity 8)  6 O 1.92
Fe: 0.2500 0.2500 0.2500 (multiplicity 8)  6 O 1.94
Si: 0.0000 0.2500 0.3780 (multiplicity 24)  4 O 1.65-1.66
O: 0.0358 0.0457 0.6508 (multiplicity 48)  1 Si 1.65
O: 0.0982 0.2031 0.2900 (multiplicity 48)  1 Si 1.66